No. 1
A plane-wave DFT calculation with PBE was carried out for an optimized crystal structure of CuTeH3.

**Total DFT energy (no corrections)**: -2.5476 eV per atom
**DOS at the Fermi energy**: 1.89 states/eV per cell

a = 3.991 Å, b = 3.991 Å, c = 3.991 Å
α = 90.00°, β = 90.00°, γ = 90.00°
Sites, in units of the cell vectors:
Cu  0.000  0.000  0.000
Te  0.500  0.500  0.500
H  0.000  0.500  0.500
H  0.500  0.000  0.500
H  0.500  0.500  0.000


No. 2
A plane-wave DFT calculation with PBE was carried out for an optimized crystal structure of Ac2HoRh3O12.

**DOS at the Fermi energy**: 9.90 states/eV per cell
**Energy relative to the elements, uncorrected**: -1.68 eV/atom

a = 6.764 Å, b = 6.764 Å, c = 6.764 Å
α = 64.09°, β = 64.09°, γ = 64.09°
Sites, in units of the cell vectors:
Ac  0.114  0.114  0.114
Ac  0.886  0.886  0.886
Ho  0.500  0.500  0.500
Rh  0.000  0.500  0.500
Rh  0.500  0.000  0.500
Rh  0.500  0.500  0.000
O  0.071  0.645  0.645
O  0.225  0.225  0.638
O  0.225  0.638  0.225
O  0.355  0.355  0.929
O  0.355  0.929  0.355
O  0.362  0.775  0.775
O  0.638  0.225  0.225
O  0.645  0.071  0.645
O  0.645  0.645  0.071
O  0.775  0.362  0.775
O  0.775  0.775  0.362
O  0.929  0.355  0.355


No. 3
A plane-wave DFT calculation with PBE was carried out for an optimized crystal structure of TaNi2H.

**Total DFT energy (no corrections)**: -6.4058 eV per atom
**DOS at the Fermi energy**: 3.85 states/eV per cell

a = 7.135 Å, b = 7.135 Å, c = 7.135 Å
α = 22.13°, β = 22.13°, γ = 22.13°
Sites, in units of the cell vectors:
Ta  0.000  0.000  0.000
Ni  0.117  0.117  0.117
Ni  0.883  0.883  0.883
H  0.500  0.500  0.500


No. 4
A plane-wave DFT calculation with PBE was carried out for an optimized crystal structure of SmScTl2.

**DOS at the Fermi energy**: 2.88 states/eV per cell
**ΔE_f**: -7.45 kcal/mol of atoms

a = 3.714 Å, b = 3.714 Å, c = 7.530 Å
α = 90.00°, β = 90.00°, γ = 90.00°
Sites, in units of the cell vectors:
Sm  0.000  0.000  0.000
Sc  0.000  0.000  0.500
Tl  0.500  0.500  0.272
Tl  0.500  0.500  0.728


No. 5
A plane-wave DFT calculation with PBE was carried out for an optimized crystal structure of CeB2Os.

**DOS at the Fermi energy**: 5.03 states/eV per cell
**ΔE_f**: -4.08 kcal/mol of atoms

a = 5.184 Å, b = 5.184 Å, c = 5.184 Å
α = 42.05°, β = 42.05°, γ = 42.05°
Sites, in units of the cell vectors:
Ce  0.000  0.000  0.000
B  0.203  0.203  0.203
B  0.797  0.797  0.797
Os  0.500  0.500  0.500


No. 6
A plane-wave DFT calculation with PBE was carried out for an optimized crystal structure of CaCo2Mo.

**DOS at the Fermi energy**: 0.84 states/eV per cell
**ΔE_f**: 11.65 kcal/mol of atoms

a = 4.427 Å, b = 4.427 Å, c = 4.427 Å
α = 60.00°, β = 60.00°, γ = 60.00°
Sites, in units of the cell vectors:
Ca  0.000  0.000  0.000
Co  0.250  0.250  0.250
Co  0.750  0.750  0.750
Mo  0.500  0.500  0.500


No. 7
A plane-wave DFT calculation with PBE was carried out for an optimized crystal structure of Y3Tm8Th3.

**DOS at the Fermi energy**: 20.83 states/eV per cell
**ΔE_f**: 3.54 kcal/mol of atoms

a = 9.551 Å, b = 9.551 Å, c = 9.551 Å
α = 146.00°, β = 111.96°, γ = 78.29°
Sites, in units of the cell vectors:
Y  0.000  0.000  0.000
Y  0.306  0.000  0.306
Y  0.694  0.000  0.694
Tm  0.055  0.397  0.658
Tm  0.066  0.224  0.842
Tm  0.261  0.603  0.658
Tm  0.383  0.224  0.158
Tm  0.617  0.776  0.842
Tm  0.739  0.397  0.342
Tm  0.934  0.776  0.158
Tm  0.945  0.603  0.342
Th  0.314  0.814  0.500
Th  0.500  0.500  0.000
Th  0.686  0.186  0.500


No. 8
A plane-wave DFT calculation with PBE was carried out for an optimized crystal structure of Sr2AgPt2.

**DOS at the Fermi energy**: 1.68 states/eV per cell
**ΔE_f**: -11.36 kcal/mol of atoms

a = 5.787 Å, b = 5.787 Å, c = 5.787 Å
α = 119.11°, β = 119.11°, γ = 91.56°
Sites, in units of the cell vectors:
Sr  0.250  0.750  0.500
Sr  0.750  0.250  0.500
Ag  0.000  0.000  0.000
Pt  0.339  0.339  0.000
Pt  0.661  0.661  0.000


No. 9
A plane-wave DFT calculation with PBE was carried out for an optimized crystal structure of CeEr2TlC.

**DOS at the Fermi energy**: 5.52 states/eV per cell
**ΔE_f**: -8.87 kcal/mol of atoms

a = 4.913 Å, b = 4.913 Å, c = 4.906 Å
α = 90.00°, β = 90.00°, γ = 90.00°
Sites, in units of the cell vectors:
Ce  0.000  0.000  0.000
Er  0.000  0.500  0.500
Er  0.500  0.000  0.500
Tl  0.500  0.500  0.000
C  0.000  0.000  0.500


No. 10
A plane-wave DFT calculation with PBE was carried out for an optimized crystal structure of Pm4DyErTm2.

**DOS at the Fermi energy**: 10.03 states/eV per cell
**ΔE_f**: 0.40 kcal/mol of atoms

a = 6.204 Å, b = 3.588 Å, c = 11.773 Å
α = 90.00°, β = 100.19°, γ = 90.00°
Sites, in units of the cell vectors:
Pm  0.249  0.000  0.249
Pm  0.250  0.500  0.750
Pm  0.750  0.500  0.250
Pm  0.751  0.000  0.751
Dy  0.500  0.500  0.500
Er  0.500  0.000  0.000
Tm  0.000  0.000  0.500
Tm  0.000  0.500  0.000


No. 11
A plane-wave DFT calculation with PBE was carried out for an optimized crystal structure of CsRbAg2Cl8.

**Energy relative to the elements, uncorrected**: -0.84 eV/atom

a = 8.730 Å, b = 8.730 Å, c = 8.730 Å
α = 129.12°, β = 129.12°, γ = 74.81°
Sites, in units of the cell vectors:
Cs  0.000  0.000  0.000
Rb  0.250  0.750  0.500
Ag  0.500  0.500  0.000
Ag  0.750  0.250  0.500
Cl  0.050  0.306  0.870
Cl  0.202  0.462  0.642
Cl  0.437  0.180  0.130
Cl  0.440  0.798  0.260
Cl  0.538  0.180  0.740
Cl  0.694  0.563  0.743
Cl  0.820  0.560  0.358
Cl  0.820  0.950  0.257


No. 12
A plane-wave DFT calculation with PBE was carried out for an optimized crystal structure of Ce6PO5.

**DOS at the Fermi energy**: 15.99 states/eV per cell
**Energy relative to the elements, uncorrected**: -2.58 eV/atom

a = 6.278 Å, b = 6.278 Å, c = 6.271 Å
α = 99.64°, β = 99.64°, γ = 120.11°
Sites, in units of the cell vectors:
Ce  0.061  0.414  0.741
Ce  0.237  0.237  0.264
Ce  0.414  0.061  0.741
Ce  0.586  0.939  0.259
Ce  0.763  0.763  0.736
Ce  0.939  0.586  0.259
P  0.500  0.500  0.000
O  0.000  0.000  0.500
O  0.167  0.833  0.000
O  0.342  0.658  0.500
O  0.658  0.342  0.500
O  0.833  0.167  0.000


Copy entry 7 word for word.
A plane-wave DFT calculation with PBE was carried out for an optimized crystal structure of Y3Tm8Th3.

**DOS at the Fermi energy**: 20.83 states/eV per cell
**ΔE_f**: 3.54 kcal/mol of atoms

a = 9.551 Å, b = 9.551 Å, c = 9.551 Å
α = 146.00°, β = 111.96°, γ = 78.29°
Sites, in units of the cell vectors:
Y  0.000  0.000  0.000
Y  0.306  0.000  0.306
Y  0.694  0.000  0.694
Tm  0.055  0.397  0.658
Tm  0.066  0.224  0.842
Tm  0.261  0.603  0.658
Tm  0.383  0.224  0.158
Tm  0.617  0.776  0.842
Tm  0.739  0.397  0.342
Tm  0.934  0.776  0.158
Tm  0.945  0.603  0.342
Th  0.314  0.814  0.500
Th  0.500  0.500  0.000
Th  0.686  0.186  0.500